[1]
This record from the Alexandria database describes crystalline Li2MgInH at its relaxed geometry. The functional is PBE-GGA.

Computed properties:
Offset from the most stable computed form: 130 meV/atom
Final energy: -11.89 eV per formula unit
SG: No. 123

Cell: 4.1907 4.1907 4.8025 Å, 90.00 90.00 90.00°
Fractional positions:
Li (0.0000, 0.5000, 0.0000)
Mg (0.5000, 0.5000, 0.5000)
H (0.0000, 0.0000, 0.0000)
Li (0.5000, 0.0000, 0.0000)
In (0.0000, 0.0000, 0.5000)


[2]
This record from the Alexandria database describes crystalline Li2MgInH at its relaxed geometry. The functional is PBE-GGA.

Computed properties:
Offset from the most stable computed form: 0 meV/atom
Final energy: -12.54 eV per formula unit
SG: No. 123

Cell: 4.3860 4.3860 4.0704 Å, 90.00 90.00 90.00°
Fractional positions:
H (0.0000, 0.0000, 0.0000)
Li (0.5000, 0.0000, 0.0000)
Mg (0.0000, 0.0000, 0.5000)
In (0.5000, 0.5000, 0.5000)
Li (0.0000, 0.5000, 0.0000)


[3]
This record from the Alexandria database describes crystalline LiMgIn2H at its relaxed geometry. The functional is PBE-GGA.

Computed properties:
Final energy: -12.46 eV per formula unit
SG: No. 123

Cell: 5.1011 5.1011 3.5864 Å, 90.00 90.00 90.00°
Fractional positions:
In (0.0000, 0.5000, 0.0000)
Mg (0.5000, 0.5000, 0.5000)
In (0.5000, 0.0000, 0.0000)
Li (0.0000, 0.0000, 0.5000)
H (0.0000, 0.0000, 0.0000)


[4]
This record from the Alexandria database describes crystalline LiMg2InH at its relaxed geometry. The functional is PBE-GGA.

Computed properties:
Final energy: -11.94 eV per formula unit
SG: No. 123

Cell: 4.7426 4.7426 3.7451 Å, 90.00 90.00 90.00°
Fractional positions:
Mg (0.0000, 0.5000, 0.0000)
Li (0.0000, 0.0000, 0.5000)
In (0.5000, 0.5000, 0.5000)
H (0.0000, 0.0000, 0.0000)
Mg (0.5000, 0.0000, 0.0000)


[5]
This record from the Alexandria database describes crystalline LiMnInH6 at its relaxed geometry. The functional is PBE-GGA.

Computed properties:
Final energy: -33.04 eV per formula unit
SG: No. 102

Cell: 4.3548 4.3548 8.1732 Å, 90.00 90.00 90.00°
Each line ends with the local moment (μB).
Fractional positions:
Li (0.5000, 0.5000, 0.1579)  -0.01
In (0.5000, 0.5000, 0.5017)  -0.04
H (0.3318, 0.3318, 0.9765)  -0.01
H (0.7722, 0.2278, 0.8195)  -0.01
H (0.1682, 0.8318, 0.4765)  -0.01
H (0.2278, 0.7722, 0.8195)  -0.01
In (0.0000, 0.0000, 0.0017)  -0.04
Mn (0.5000, 0.5000, 0.8218)  1.29
Li (0.0000, 0.0000, 0.6579)  -0.01
H (0.7847, 0.2153, 0.2133)  -0.01
H (0.2153, 0.7847, 0.2133)  -0.01
Mn (0.0000, 0.0000, 0.3218)  1.29
H (0.2847, 0.2847, 0.7133)  -0.01
H (0.2722, 0.2722, 0.3195)  -0.01
H (0.7278, 0.7278, 0.3195)  -0.01
H (0.7153, 0.7153, 0.7133)  -0.01
H (0.8318, 0.1682, 0.4765)  -0.01
H (0.6682, 0.6682, 0.9765)  -0.01


[6]
This record from the Alexandria database describes crystalline Li2MnInH at its relaxed geometry. The functional is PBE-GGA.

Computed properties:
Final energy: -19.48 eV per formula unit
SG: No. 123

Cell: 3.9554 3.9554 4.2315 Å, 90.00 90.00 90.00°
Each line ends with the local moment (μB).
Fractional positions:
Mn (0.0000, 0.0000, 0.5000)  3.40
In (0.5000, 0.5000, 0.5000)  -0.14
Li (0.0000, 0.5000, 0.0000)  -0.01
Li (0.5000, 0.0000, 0.0000)  -0.01
H (0.0000, 0.0000, 0.0000)  -0.02